Below is a geometry-optimized LiUTcIr structure, with properties calculated at the PBE-GGA level.

The structure in POSCAR format:
```
LiUTcIr
1.0
0.000 3.205 3.205
3.205 0.000 3.205
3.205 3.205 0.000
Li U Tc Ir
1 1 1 1
direct
0.000 0.000 0.000
0.500 0.500 0.500
0.250 0.250 0.250
0.750 0.750 0.750
```

The calculated density comes out at 13.49 g/cm³. Its spin magnetization is 0.60 μB/f.u. The value obtained for the energy relative to the elements is -0.146 eV/atom.